[1]
Compound: Gd2ZnGa
Source: the Alexandria database
Functional: GGA-PBE
Structure: optimized geometry

Output
Calculated volume ... 94.2 Å³/f.u.
Total moment ... 3.699 μB per atom
Formation enthalpy at 0 K ... -483.8 meV per atom

Unit cell a=3.604 b=5.111 c=5.111 alpha=90.00 beta=90.00 gamma=90.00
Fractional coordinates of all 4 atoms:
1 Zn 0.500 0.500 0.500
2 Gd 0.000 0.000 0.500
3 Gd 0.000 0.500 0.000
4 Ga 0.500 0.000 0.000

=====

[2]
Compound: GdZnGa
Source: the Alexandria database
Functional: GGA-PBE
Structure: optimized geometry

Output
Calculated volume ... 67.1 Å³/f.u.
Total moment ... 2.353 μB per atom
Formation enthalpy at 0 K ... -400.9 meV per atom

Unit cell a=4.562 b=4.562 c=4.562 alpha=60.00 beta=60.00 gamma=60.00
Fractional coordinates of all 3 atoms:
1 Zn 0.250 0.250 0.250
2 Gd 0.500 0.500 0.500
3 Ga 0.000 0.000 0.000

=====

[3]
Compound: GdZnGa
Source: the Alexandria database
Functional: GGA-PBE
Structure: optimized geometry

Output
Calculated volume ... 62.6 Å³/f.u.
Total moment ... 2.408 μB per atom
Formation enthalpy at 0 K ... -559.6 meV per atom

Unit cell a=4.446 b=4.446 c=7.312 alpha=90.00 beta=90.00 gamma=120.00
Fractional coordinates of all 6 atoms:
1 Zn 0.667 0.333 0.250
2 Zn 0.333 0.667 0.750
3 Gd 0.000 0.000 0.500
4 Gd 0.000 0.000 0.000
5 Ga 0.667 0.333 0.750
6 Ga 0.333 0.667 0.250

=====

[4]
Compound: GdZnGa2
Source: the Alexandria database
Functional: GGA-PBE
Structure: optimized geometry

Output
Calculated volume ... 81.2 Å³/f.u.
Total moment ... 1.780 μB per atom
Formation enthalpy at 0 K ... -436.9 meV per atom

Unit cell a=4.250 b=4.250 c=5.741 alpha=68.28 beta=68.28 gamma=60.00
Fractional coordinates of all 4 atoms:
1 Zn 0.500 0.500 0.500
2 Gd 0.000 0.000 0.000
3 Ga 0.780 0.780 0.660
4 Ga 0.220 0.220 0.340

=====

[5]
Compound: GdZn2Ga
Source: the Alexandria database
Functional: GGA-PBE
Structure: optimized geometry

Output
Calculated volume ... 79.2 Å³/f.u.
Total moment ... 1.831 μB per atom
Formation enthalpy at 0 K ... -318.7 meV per atom

Unit cell a=4.417 b=4.235 c=4.235 alpha=90.00 beta=90.00 gamma=90.00
Fractional coordinates of all 4 atoms:
1 Zn 0.000 0.000 0.500
2 Zn 0.000 0.500 0.000
3 Gd 0.500 0.500 0.500
4 Ga 0.500 0.000 0.000

=====

[6]
Compound: Gd2ZnGa
Source: the Alexandria database
Functional: GGA-PBE
Structure: optimized geometry

Output
Calculated volume ... 94.1 Å³/f.u.
Total moment ... 3.723 μB per atom
Formation enthalpy at 0 K ... -490.8 meV per atom

Unit cell a=5.105 b=5.105 c=5.105 alpha=60.00 beta=60.00 gamma=60.00
Fractional coordinates of all 4 atoms:
1 Zn 0.750 0.750 0.750
2 Gd 0.500 0.500 0.500
3 Gd 0.000 0.000 0.000
4 Ga 0.250 0.250 0.250

=====

Calculated total energy: -8.599 -6.528 -6.687 -5.789 -5.233 -8.607 (eV/atom)